Compound: ScCd2Si
Source: Alexandria
Functional: GGA-PBE
Structure: relaxed

a b c (Å): 5.703 11.096 3.192
angles (deg): 90.00 123.72 90.00
Space group C2/m (No. 12)
Inequivalent atoms, fractional coordinates:
Sc 0.000 0.000 0.000 x2
Cd 0.250 0.250 0.500 x4
Si 0.000 0.500 0.000 x2

Computed properties:
Its volume is 21.00 A^3/atom. For the formation energy without anion corrections, the calculation gives -79 meV per atom. For the theoretical density, the calculation gives 5.89 g/cm³.

---

Compound: Tl2InTe2
Source: Alexandria
Functional: GGA-PBE
Structure: relaxed

a b c (Å): 8.553 8.553 4.797
angles (deg): 90.00 90.00 90.00
Space group P4/mbm (No. 127)
Inequivalent atoms, fractional coordinates:
Tl 0.134 0.366 0.000 x4
In 0.000 0.000 0.500 x2
Te 0.179 0.679 0.500 x4

Computed properties:
Its volume is 35.09 A^3/atom. For the formation energy without anion corrections, the calculation gives -146 meV per atom. The value obtained for the energy above the lowest structure with this stoichiometry is 118 meV/atom. For the theoretical density, the calculation gives 7.37 g/cm³.

---

Compound: AlAu
Source: Alexandria
Functional: GGA-PBE
Structure: relaxed

a b c (Å): 4.234 8.579 6.055
angles (deg): 90.00 90.00 90.00
Space group Amm2 (No. 38)
Inequivalent atoms, fractional coordinates:
Al 0.000 0.000 0.000 x2
Al 0.500 0.162 0.655 x4
Au 0.000 0.226 0.336 x4
Au 0.500 0.000 0.279 x2

Computed properties:
The calculation puts the energy relative to the elements at -0.28 eV per atom. Its volume is 18.33 A^3/atom. For the theoretical density, the calculation gives 10.14 g/cm³.